1.
Below is a relaxed Pu2AgPb crystal, with properties calculated at the PBE-GGA level.

Cell and atoms, written as extended XYZ:
```
4
Lattice="4.516 0.000 0.000 0.000 4.516 0.000 0.000 0.000 4.858" Properties=species:S:1:pos:R:3 pbc="T T T"
Pu 0.000 2.258 0.000
Pu 2.258 0.000 0.000
Ag 0.000 0.000 2.429
Pb 2.258 2.258 2.429
```

Summary:
DFT formation energy, eV per atom: -0.073
SG: No. 123
E above lowest polymorph, kJ/mol of formula units: 0.0
Calculated volume, Å³ per cell: 99

=====

2.
Below is a relaxed Pu2AgPb crystal, with properties calculated at the PBE-GGA level.

Cell and atoms, written as extended XYZ:
```
16
Lattice="7.546 0.000 0.000 0.000 7.546 0.000 0.000 0.000 7.546" Properties=species:S:1:pos:R:3 pbc="T T T"
Pu 1.886 1.886 1.886
Pu 1.886 1.886 5.659
Pu 1.886 5.659 1.886
Pu 1.886 5.659 5.659
Pu 5.659 1.886 1.886
Pu 5.659 1.886 5.659
Pu 5.659 5.659 1.886
Pu 5.659 5.659 5.659
Ag 0.000 0.000 0.000
Ag 0.000 3.773 3.773
Ag 3.773 0.000 3.773
Ag 3.773 3.773 0.000
Pb 0.000 0.000 3.773
Pb 0.000 3.773 0.000
Pb 3.773 0.000 0.000
Pb 3.773 3.773 3.773
```

Summary:
DFT formation energy, eV per atom: 0.008
SG: No. 225
E above lowest polymorph, kJ/mol of formula units: 31.1
Calculated volume, Å³ per cell: 430

=====

3.
Below is a relaxed Pu2Ag2Pb crystal, with properties calculated at the PBE-GGA level.

Cell and atoms, written as extended XYZ:
```
10
Lattice="4.904 0.000 0.000 0.000 15.479 0.000 0.000 0.000 3.177" Properties=species:S:1:pos:R:3 pbc="T T T"
Pu 0.000 1.765 0.000
Pu 0.000 13.714 0.000
Pu 2.452 5.975 0.000
Pu 2.452 9.505 0.000
Ag 0.000 4.588 1.588
Ag 0.000 10.892 1.588
Ag 2.452 3.152 1.588
Ag 2.452 12.327 1.588
Pb 0.000 7.740 1.588
Pb 2.452 0.000 1.588
```

Summary:
DFT formation energy, eV per atom: -0.078
SG: No. 65
Calculated volume, Å³ per cell: 241

=====

4.
Below is a relaxed Pu2AgPb crystal, with properties calculated at the PBE-GGA level.

Cell and atoms, written as extended XYZ:
```
8
Lattice="6.122 0.000 0.000 0.000 3.525 0.000 -0.861 0.000 8.011" Properties=species:S:1:pos:R:3 pbc="T T T"
Pu -0.057 0.881 0.753
Pu 1.601 2.644 7.477
Pu 3.660 0.881 0.534
Pu 5.318 2.644 7.258
Ag 0.402 0.881 4.884
Ag 4.859 2.644 3.126
Pb 1.861 2.644 2.732
Pb 3.400 0.881 5.279
```

Summary:
DFT formation energy, eV per atom: 0.130
SG: No. 11
E above lowest polymorph, kJ/mol of formula units: 78.0
Calculated volume, Å³ per cell: 173

=====

5.
Below is a relaxed PuAg8Pb3 crystal, with properties calculated at the PBE-GGA level.

Cell and atoms, written as extended XYZ:
```
12
Lattice="2.862 1.652 9.306 -2.862 1.652 9.306 0.000 -3.305 9.306" Properties=species:S:1:pos:R:3 pbc="T T T"
Pu 0.000 0.000 0.000
Ag 0.000 -1.654 6.401
Ag -1.433 0.827 6.401
Ag -1.428 -0.824 11.070
Ag 0.000 0.000 8.735
Ag 1.433 0.827 6.401
Ag 1.428 -0.824 11.070
Ag 0.000 1.649 11.070
Ag 0.000 0.000 22.694
Pb 0.000 0.000 3.508
Pb 0.000 0.000 13.928
Pb 0.000 0.000 17.471
```

Summary:
DFT formation energy, eV per atom: 0.016
SG: No. 160
Calculated volume, Å³ per cell: 264

=====

6.
Below is a relaxed Pu3AgPb2 crystal, with properties calculated at the PBE-GGA level.

Cell and atoms, written as extended XYZ:
```
6
Lattice="3.403 0.000 0.000 0.000 3.403 0.000 0.000 0.000 13.835" Properties=species:S:1:pos:R:3 pbc="T T T"
Pu 0.000 0.000 0.000
Pu 0.000 0.000 4.783
Pu 0.000 0.000 9.052
Ag 1.701 1.701 6.917
Pb 1.701 1.701 2.393
Pb 1.701 1.701 11.442
```

Summary:
DFT formation energy, eV per atom: -0.068
SG: No. 123
Calculated volume, Å³ per cell: 160